# PBE-GGA SbPPt, optimized geometry
# crystal system	cubic
# energy relative to the elements, uncorrected	-519	meV per atom
# Fermi-level density of states	0.79	states/eV/cell
# calculated total energy	-5.710	eV/atom
data_SbPPt
_cell_length_a 6.1508
_cell_length_b 6.1508
_cell_length_c 6.1508
_cell_angle_alpha 90.00
_cell_angle_beta 90.00
_cell_angle_gamma 90.00
_symmetry_space_group_name_H-M 'P 21 3'
_symmetry_Int_Tables_number 198
_symmetry_space_group_name_Hall 'P 2ac 2ab 3'
loop_
_atom_site_label
_atom_site_type_symbol
_atom_site_fract_x
_atom_site_fract_y
_atom_site_fract_z
Sb1 Sb 0.1189 0.3811 0.6189
P1 P 0.1187 0.1187 0.1187
Pt1 Pt 0.0192 0.9808 0.4808

***

# PBE-GGA SbP2Pt, optimized geometry
# crystal system	tetragonal
# energy relative to the elements, uncorrected	16	meV per atom
# Fermi-level density of states	5.60	states/eV/cell
# calculated total energy	-5.229	eV/atom
data_SbP2Pt
_cell_length_a 5.2234
_cell_length_b 5.2234
_cell_length_c 5.3461
_cell_angle_alpha 90.00
_cell_angle_beta 90.00
_cell_angle_gamma 90.00
_symmetry_space_group_name_H-M 'I 4/m m m'
_symmetry_Int_Tables_number 139
_symmetry_space_group_name_Hall '-I 4 2'
loop_
_atom_site_label
_atom_site_type_symbol
_atom_site_fract_x
_atom_site_fract_y
_atom_site_fract_z
Sb1 Sb 0.0000 0.0000 0.0000
P1 P 0.0000 0.5000 0.0000
Pt1 Pt 0.0000 0.0000 0.5000

***

# PBE-GGA SbP2Pt, optimized geometry
# crystal system	orthorhombic
# energy relative to the elements, uncorrected	190	meV per atom
# Fermi-level density of states	3.05	states/eV/cell
# calculated total energy	-5.056	eV/atom
data_SbP2Pt
_cell_length_a 3.9973
_cell_length_b 4.9425
_cell_length_c 9.4113
_cell_angle_alpha 90.00
_cell_angle_beta 90.00
_cell_angle_gamma 90.00
_symmetry_space_group_name_H-M 'I m m m'
_symmetry_Int_Tables_number 71
_symmetry_space_group_name_Hall '-I 2 2'
loop_
_atom_site_label
_atom_site_type_symbol
_atom_site_fract_x
_atom_site_fract_y
_atom_site_fract_z
Sb1 Sb 0.0000 0.0000 0.0000
P1 P 0.0000 0.5000 0.1391
Pt1 Pt 0.0000 0.0000 0.5000